1.
The following is a GGA-PBE calculation of a relaxed RbOsCl2 crystal, from Alexandria.

Structure (CIF):
```
data_RbOsCl2
_cell_length_a 7.2582
_cell_length_b 7.2582
_cell_length_c 7.2582
_cell_angle_alpha 90.00
_cell_angle_beta 90.00
_cell_angle_gamma 90.00
_symmetry_space_group_name_H-M 'F m -3 m'
_symmetry_Int_Tables_number 225
_symmetry_space_group_name_Hall '-F 4 2 3'
loop_
_atom_site_label
_atom_site_type_symbol
_atom_site_fract_x
_atom_site_fract_y
_atom_site_fract_z
_atom_site_occupancy
Rb1 Rb 0.0000 0.0000 0.0000 1
Os1 Os 0.0000 0.0000 0.5000 1
Cl1 Cl 0.2500 0.2500 0.2500 1
```

Computed properties:
volume = 382.4 Å³/cell
E = -3.43 eV/atom
energy relative to the elements, uncorrected = 2.16 eV/f.u.



2.
The following is a GGA-PBE calculation of a relaxed Zr2NpIn crystal, from Alexandria.

Structure (CIF):
```
data_Zr2NpIn
_cell_length_a 7.1613
_cell_length_b 7.1613
_cell_length_c 7.1613
_cell_angle_alpha 90.00
_cell_angle_beta 90.00
_cell_angle_gamma 90.00
_symmetry_space_group_name_H-M 'F m -3 m'
_symmetry_Int_Tables_number 225
_symmetry_space_group_name_Hall '-F 4 2 3'
loop_
_atom_site_label
_atom_site_type_symbol
_atom_site_fract_x
_atom_site_fract_y
_atom_site_fract_z
_atom_site_occupancy
Zr1 Zr 0.2500 0.2500 0.2500 1
Np1 Np 0.0000 0.0000 0.0000 1
In1 In 0.0000 0.0000 0.5000 1
```

Computed properties:
volume = 367.3 Å³/cell
calculated formation energy = 169 meV/atom
E = -8.03 eV/atom



3.
The following is a GGA-PBE calculation of a relaxed K3AsF8 crystal, from Alexandria.

Structure (CIF):
```
data_K3AsF8
_cell_length_a 5.8337
_cell_length_b 5.8337
_cell_length_c 11.3065
_cell_angle_alpha 90.00
_cell_angle_beta 90.00
_cell_angle_gamma 90.00
_symmetry_space_group_name_H-M 'I 4/m m m'
_symmetry_Int_Tables_number 139
_symmetry_space_group_name_Hall '-I 4 2'
loop_
_atom_site_label
_atom_site_type_symbol
_atom_site_fract_x
_atom_site_fract_y
_atom_site_fract_z
_atom_site_occupancy
K1 K 0.0000 0.0000 0.0000 1
K2 K 0.0000 0.5000 0.2500 1
As1 As 0.0000 0.0000 0.5000 1
F1 F 0.1971 0.1971 0.3983 1
```

Computed properties:
volume = 384.8 Å³/cell
E = -4.14 eV/atom
energy relative to the elements, uncorrected = -26.74 eV/f.u.



4.
The following is a GGA-PBE calculation of a relaxed RbTl7 crystal, from Alexandria.

Structure (CIF):
```
data_RbTl7
_cell_length_a 13.5762
_cell_length_b 9.2884
_cell_length_c 4.7961
_cell_angle_alpha 90.00
_cell_angle_beta 110.12
_cell_angle_gamma 90.00
_symmetry_space_group_name_H-M 'C 1 2/m 1'
_symmetry_Int_Tables_number 12
loop_
_symmetry_equiv_pos_as_xyz
'x,y,z'
'-x,-y,-z'
'-x,y,-z'
'x,-y,z'
'x+1/2,y+1/2,z'
'-x+1/2,-y+1/2,-z'
'-x+1/2,y+1/2,-z'
'x+1/2,-y+1/2,z'
loop_
_atom_site_label
_atom_site_type_symbol
_atom_site_fract_x
_atom_site_fract_y
_atom_site_fract_z
_atom_site_occupancy
Rb1 Rb 0.0000 0.0000 0.0000 1
Tl1 Tl 0.0000 0.5000 0.0000 1
Tl2 Tl 0.1340 0.3119 0.6336 1
Tl3 Tl 0.2425 0.0000 0.7445 1
```

Computed properties:
volume = 567.9 Å³/cell
calculated formation energy = -18 meV/atom
E = -2.21 eV/atom



5.
The following is a GGA-PBE calculation of a relaxed RbLaI2O crystal, from Alexandria.

Structure (CIF):
```
data_RbLaI2O
_cell_length_a 6.3778
_cell_length_b 6.3778
_cell_length_c 4.4148
_cell_angle_alpha 90.00
_cell_angle_beta 90.00
_cell_angle_gamma 90.00
_symmetry_space_group_name_H-M 'P 4/m m m'
_symmetry_Int_Tables_number 123
_symmetry_space_group_name_Hall '-P 4 2'
loop_
_atom_site_label
_atom_site_type_symbol
_atom_site_fract_x
_atom_site_fract_y
_atom_site_fract_z
_atom_site_occupancy
Rb1 Rb 0.0000 0.0000 0.0000 1
La1 La 0.5000 0.5000 0.5000 1
I1 I 0.0000 0.5000 0.0000 1
O1 O 0.0000 0.0000 0.5000 1
```

Computed properties:
volume = 179.6 Å³/cell
E = -3.22 eV/atom
energy relative to the elements, uncorrected = -2.14 eV/f.u.



6.
The following is a GGA-PBE calculation of a relaxed GdCdSn2 crystal, from Alexandria.

Structure (CIF):
```
data_GdCdSn2
_cell_length_a 4.9342
_cell_length_b 4.9342
_cell_length_c 15.2100
_cell_angle_alpha 90.00
_cell_angle_beta 90.00
_cell_angle_gamma 120.00
_symmetry_space_group_name_H-M 'R -3 m'
_symmetry_Int_Tables_number 166
_symmetry_space_group_name_Hall '-R 3 2"'
loop_
_atom_site_label
_atom_site_type_symbol
_atom_site_fract_x
_atom_site_fract_y
_atom_site_fract_z
_atom_site_occupancy
Gd1 Gd 0.0000 0.0000 0.0000 1
Cd1 Cd 0.0000 0.0000 0.5000 1
Sn1 Sn 0.0000 0.0000 0.2384 1
```

Computed properties:
volume = 320.7 Å³/cell
calculated formation energy = -248 meV/atom
E = -6.00 eV/atom